Material: ErH3
Method: DFT, PBE
State: optimized geometry

## Properties
Magnetic moment in μB/cell: 0.00
E_tot in Ry/atom: -0.314
ΔE to the lowest computed polymorph in meV per atom: 0.3

abc: 3.572 6.215 6.434
angles: 90.00 90.00 90.00
Space group Cmcm (No. 63)
Asymmetric unit:
1 Er 0.000 0.168 0.250
2 H 0.000 0.166 0.593
3 H 0.000 0.500 0.250